# 1
Li2LaCoO4 | GGA+U | optimized geometry

The structure in CIF format:
```
data_Li2LaCoO4
_chemical_formula_sum 'Li4 La2 Co2 O8'
_cell_length_a 5.340
_cell_length_b 5.340
_cell_length_c 6.650
_cell_angle_alpha 90.00
_cell_angle_beta 90.00
_cell_angle_gamma 90.00
_space_group_name_H-M_alt 'I -4 2 m'
_space_group_IT_number 121
_space_group_name_Hall 'I -4 2'
loop_
_atom_site_label
_atom_site_fract_x
_atom_site_fract_y
_atom_site_fract_z
_atom_site_occupancy
Li1 0.000 0.500 0.250 1
La1 0.000 0.000 0.000 1
Co1 0.000 0.000 0.500 1
O1 0.210 0.210 0.652 1
```


# 2
LiLa4CoO8 | GGA+U | optimized geometry

The structure in CIF format:
```
data_LiLa4CoO8
_chemical_formula_sum 'Li4 La16 Co4 O32'
_cell_length_a 5.340
_cell_length_b 5.340
_cell_length_c 25.935
_cell_angle_alpha 90.00
_cell_angle_beta 90.00
_cell_angle_gamma 90.00
_space_group_name_H-M_alt 'I 41/a m d'
_space_group_IT_number 141
loop_
_space_group_symop_operation_xyz
'x,y,z'
'-x,-y,-z'
'-y+1/4,x+3/4,z+1/4'
'y+1/4,-x+3/4,-z+1/4'
'-x+1/2,-y,z+1/2'
'x+1/2,y,-z+1/2'
'y+1/4,-x+1/4,z+3/4'
'-y+1/4,x+1/4,-z+3/4'
'x,-y,-z'
'-x,y,z'
'-y+1/4,-x+1/4,-z+3/4'
'y+1/4,x+1/4,z+3/4'
'-x+1/2,y,-z+1/2'
'x+1/2,-y,z+1/2'
'y+1/4,x+3/4,-z+1/4'
'-y+1/4,-x+3/4,z+1/4'
'x+1/2,y+1/2,z+1/2'
'-x+1/2,-y+1/2,-z+1/2'
'-y+3/4,x+1/4,z+3/4'
'y+3/4,-x+1/4,-z+3/4'
'-x,-y+1/2,z'
'x,y+1/2,-z'
'y+3/4,-x+3/4,z+1/4'
'-y+3/4,x+3/4,-z+1/4'
'x+1/2,-y+1/2,-z+1/2'
'-x+1/2,y+1/2,z+1/2'
'-y+3/4,-x+3/4,-z+1/4'
'y+3/4,x+3/4,z+1/4'
'-x,y+1/2,-z'
'x,-y+1/2,z'
'y+3/4,x+1/4,-z+3/4'
'-y+3/4,-x+1/4,z+3/4'
loop_
_atom_site_label
_atom_site_fract_x
_atom_site_fract_y
_atom_site_fract_z
_atom_site_occupancy
Li1 0.000 0.250 0.375 1
La1 0.000 0.250 0.057 1
La2 0.000 0.250 0.194 1
Co1 0.000 0.250 0.875 1
O1 0.000 0.250 0.285 1
O2 0.000 0.250 0.785 1
O3 0.245 0.005 0.875 1
```


# 3
LiLa2CoO5 | GGA+U | optimized geometry

The structure in CIF format:
```
data_LiLa2CoO5
_chemical_formula_sum 'Li2 La4 Co2 O10'
_cell_length_a 6.873
_cell_length_b 6.873
_cell_length_c 5.628
_cell_angle_alpha 90.00
_cell_angle_beta 90.00
_cell_angle_gamma 90.00
_space_group_name_H-M_alt 'P 4/m b m'
_space_group_IT_number 127
_space_group_name_Hall '-P 4 2ab'
loop_
_atom_site_label
_atom_site_fract_x
_atom_site_fract_y
_atom_site_fract_z
_atom_site_occupancy
Li1 0.000 0.000 0.000 1
La1 0.180 0.320 0.500 1
Co1 0.000 0.500 0.000 1
O1 0.000 0.000 0.500 1
O2 0.131 0.631 0.233 1
```


# 4
LiLa4CoO8 | GGA+U | optimized geometry

The structure in CIF format:
```
data_LiLa4CoO8
_chemical_formula_sum 'Li2 La8 Co2 O16'
_cell_length_a 5.337
_cell_length_b 12.965
_cell_length_c 5.344
_cell_angle_alpha 90.00
_cell_angle_beta 90.00
_cell_angle_gamma 90.00
_space_group_name_H-M_alt 'C m m m'
_space_group_IT_number 65
_space_group_name_Hall '-C 2 2'
loop_
_atom_site_label
_atom_site_fract_x
_atom_site_fract_y
_atom_site_fract_z
_atom_site_occupancy
Li1 0.000 0.000 0.000 1
La1 0.000 0.137 0.500 1
La2 0.000 0.362 0.000 1
Co1 0.000 0.500 0.500 1
O1 0.000 0.181 0.000 1
O2 0.000 0.320 0.500 1
O3 0.246 0.500 0.256 1
```


| no. | total moment (Bohr magnetons per cell) | E_tot (eV per atom) |
| --- | --- | --- |
| 1 | 8.01 | -6.303 |
| 2 | 7.74 | -7.592 |
| 3 | 4.03 | -6.972 |
| 4 | 3.86 | -7.592 |